Record 1
Compound: NaZn2Cd2As3
Source: the Open Quantum Materials Database
Functional: PBE-GGA
Structure: relaxed

Geometry as POSCAR:
```
NaZn2Cd2As3
1.0
2.127 1.228 11.845
-2.127 1.228 11.845
0.000 -2.456 11.845
Na Zn Cd As
1 2 2 3
direct
0.000 0.000 0.000 Na
0.398 0.398 0.398 Zn
0.602 0.602 0.602 Zn
0.203 0.203 0.203 Cd
0.797 0.797 0.797 Cd
0.278 0.278 0.278 As
0.500 0.500 0.500 As
0.722 0.722 0.722 As
```

Values from the calculation:
The value obtained for the total energy is -2.700 eV/atom. Its space-group type is R-3m (166).

Record 2
Compound: NaZn2Cd2As3
Source: the Open Quantum Materials Database
Functional: PBE-GGA
Structure: relaxed

Geometry as POSCAR:
```
NaZn2Cd2As3
1.0
2.219 1.281 10.851
-2.219 1.281 10.851
0.000 -2.562 10.851
Na Zn Cd As
1 2 2 3
direct
0.000 0.000 0.000 Na
0.199 0.199 0.199 Zn
0.801 0.801 0.801 Zn
0.410 0.410 0.410 Cd
0.590 0.590 0.590 Cd
0.276 0.276 0.276 As
0.500 0.500 0.500 As
0.724 0.724 0.724 As
```

Values from the calculation:
The value obtained for the total energy is -2.650 eV/atom. Its space-group type is R-3m (166).